VASP calculation (GGA-PBE) on a relaxed structure of LiTcPb3.

Cell lengths 5.371, 5.371, 5.371 Å; angles 90.00, 90.00, 90.00 degrees
Fractional positions:
Li 0.500 0.500 0.500
Tc 0.000 0.000 0.000
Pb 0.000 0.500 0.000
Pb 0.500 0.000 0.000
Pb 0.000 0.000 0.500

Output
- E above lowest polymorph (meV/atom) = 0.0
- space group = No. 221
- formation energy from the elements (eV per atom) = 0.372
- N(E_F) (states/eV per atom) = 0.68
- final energy (Ry/atom) = -0.31673